1.
ScInSbO6, relaxed, DFT PBE; magnetization = 1.0 μB per formula unit; calculated density = 5.485 g cm⁻³; formation energy from raw total energies = -1828 meV per atom
1.0
-4.089 -0.301 -3.536
4.857 -2.009 -1.299
-2.381 -7.976 3.433
Sc O In Sb
2 12 2 2
direct
0.333 0.667 0.750 Sc
0.667 0.333 0.250 Sc
0.015 0.661 0.368 O
0.354 0.339 0.868 O
0.646 0.985 0.368 O
0.339 0.354 0.368 O
0.339 0.985 0.132 O
0.661 0.646 0.632 O
0.354 0.015 0.632 O
0.015 0.354 0.132 O
0.646 0.661 0.132 O
0.985 0.646 0.868 O
0.661 0.015 0.868 O
0.985 0.339 0.632 O
0.000 0.000 0.500 In
0.000 0.000 0.000 In
0.333 0.667 0.250 Sb
0.667 0.333 0.750 Sb


2.
InSb2SeO, relaxed, DFT PBE; magnetization = 0.0 μB per formula unit; calculated density = 6.174 g cm⁻³; formation energy from raw total energies = 105 meV per atom
1.0
5.705 0.000 0.000
0.000 3.746 0.000
0.000 0.000 5.705
Sb O Se In
2 1 1 1
direct
0.500 0.000 0.000 Sb
0.000 0.000 0.500 Sb
0.000 0.500 0.000 O
0.000 0.000 0.000 Se
0.500 0.500 0.500 In


3.
SmInSb2O8, relaxed, DFT PBE; magnetization = 0.0 μB per formula unit; calculated density = 6.822 g cm⁻³; formation energy from raw total energies = -1816 meV per atom
1.0
-0.194 -4.334 2.938
4.966 -1.085 -1.272
-0.597 5.658 3.635
Sb O In Sm
2 8 1 1
direct
0.250 0.750 0.500 Sb
0.500 0.500 0.000 Sb
0.974 0.409 0.318 O
0.393 0.330 0.172 O
0.158 0.607 0.828 O
0.779 0.842 0.172 O
0.091 0.026 0.682 O
0.591 0.657 0.682 O
0.670 0.221 0.828 O
0.343 0.909 0.318 O
0.000 0.000 0.000 In
0.750 0.250 0.500 Sm


4.
SrInSbO2, relaxed, DFT PBE; magnetization = 0.0 μB per formula unit; calculated density = 4.425 g cm⁻³; formation energy from raw total energies = -222 meV per atom
1.0
4.508 0.000 0.000
0.000 6.578 0.000
0.000 0.000 4.508
Sr Sb O In
1 1 2 1
direct
0.000 0.000 0.000 Sr
0.000 0.500 0.000 Sb
0.000 0.000 0.500 O
0.500 0.000 0.000 O
0.500 0.500 0.500 In


5.
TaInSbO6, relaxed, DFT PBE; magnetization = 0.0 μB per formula unit; calculated density = 7.258 g cm⁻³; formation energy from raw total energies = -1854 meV per atom
1.0
-5.406 -0.205 -0.218
2.618 -2.075 4.260
-0.483 8.190 4.287
Ta In O Sb
2 2 12 2
direct
0.667 0.333 0.750 Ta
0.333 0.667 0.250 Ta
0.000 0.000 0.000 In
0.000 0.000 0.500 In
0.659 0.644 0.633 O
0.016 0.356 0.133 O
0.659 0.016 0.867 O
0.341 0.356 0.367 O
0.016 0.659 0.367 O
0.984 0.644 0.867 O
0.644 0.984 0.367 O
0.341 0.984 0.133 O
0.644 0.659 0.133 O
0.356 0.016 0.633 O
0.984 0.341 0.633 O
0.356 0.341 0.867 O
0.333 0.667 0.750 Sb
0.667 0.333 0.250 Sb


6.
TbIn2SbO8, relaxed, DFT PBE; magnetization = 2.0 μB per formula unit; calculated density = 6.377 g cm⁻³; formation energy from raw total energies = -1624 meV per atom
1.0
4.923 -0.017 -0.003
0.018 4.924 -0.005
0.004 0.007 6.857
O Tb In Sb
8 1 2 1
direct
0.188 0.811 0.779 O
0.681 0.683 0.500 O
0.188 0.811 0.221 O
0.812 0.189 0.221 O
0.319 0.317 0.500 O
0.812 0.189 0.779 O
0.709 0.711 0.000 O
0.291 0.289 0.000 O
0.000 0.000 0.500 Tb
0.500 0.500 0.242 In
0.500 0.500 0.758 In
0.000 0.000 0.000 Sb


7.
TbInSb2O8, relaxed, DFT PBE; magnetization = 0.0 μB per formula unit; calculated density = 7.073 g cm⁻³; formation energy from raw total energies = -1843 meV per atom
1.0
5.204 0.000 0.000
0.000 5.204 0.000
-2.602 -2.602 5.594
In O Sb Tb
1 8 2 1
direct
0.000 0.000 0.000 In
0.350 0.910 0.318 O
0.155 0.606 0.825 O
0.781 0.845 0.175 O
0.394 0.330 0.175 O
0.090 0.031 0.682 O
0.969 0.409 0.318 O
0.670 0.219 0.825 O
0.591 0.650 0.682 O
0.500 0.500 0.000 Sb
0.250 0.750 0.500 Sb
0.750 0.250 0.500 Tb


8.
InSb2TeO, relaxed, DFT PBE; magnetization = 0.0 μB per formula unit; energy relative to the lowest polymorph listed for this composition = 0.0000 eV per atom; calculated density = 6.735 g cm⁻³; formation energy from raw total energies = 9 meV per atom
1.0
-3.755 -1.455 -2.485
2.026 -4.237 -0.580
-2.391 -1.780 4.654
In Te Sb O
1 1 2 1
direct
0.500 0.500 0.500 In
0.000 0.000 0.500 Te
0.500 0.000 0.000 Sb
0.000 0.500 0.000 Sb
0.000 0.000 0.000 O


9.
InSbTeO6, relaxed, DFT PBE; magnetization = 0.0 μB per formula unit; calculated density = 6.180 g cm⁻³; formation energy from raw total energies = -1192 meV per atom
1.0
-3.537 -2.904 2.975
3.605 -2.549 -3.209
6.279 -0.233 7.238
O Sb In Te
12 2 2 2
direct
0.371 0.031 0.135 O
0.340 0.371 0.865 O
0.969 0.340 0.135 O
0.969 0.629 0.365 O
0.660 0.629 0.135 O
0.340 0.969 0.635 O
0.371 0.340 0.365 O
0.629 0.660 0.635 O
0.031 0.371 0.635 O
0.629 0.969 0.865 O
0.031 0.660 0.865 O
0.660 0.031 0.365 O
0.000 0.000 0.500 Sb
0.000 0.000 0.000 Sb
0.333 0.667 0.250 In
0.667 0.333 0.750 In
0.333 0.667 0.750 Te
0.667 0.333 0.250 Te


10.
InSb2TeO, relaxed, DFT PBE; magnetization = 0.0 μB per formula unit; energy relative to the lowest polymorph listed for this composition = 1.2014 eV per atom; calculated density = 4.747 g cm⁻³; formation energy from raw total energies = 1210 meV per atom
1.0
5.625 0.000 0.000
0.000 5.625 0.000
0.000 0.000 5.550
Sb O In Te
2 1 1 1
direct
0.000 0.500 0.000 Sb
0.500 0.000 0.000 Sb
0.500 0.500 0.500 O
0.000 0.000 0.000 In
0.000 0.000 0.500 Te


11.
TlInSbO6, relaxed, DFT PBE; magnetization = 1.0 μB per formula unit; calculated density = 7.220 g cm⁻³; formation energy from raw total energies = -1053 meV per atom
1.0
-1.613 2.469 3.995
-3.436 -3.500 0.776
6.459 -5.067 5.739
O In Tl Sb
12 2 2 2
direct
0.212 0.788 0.840 O
0.318 0.318 0.678 O
0.691 0.691 0.982 O
0.288 0.288 0.340 O
0.682 0.682 0.678 O
0.788 0.212 0.840 O
0.712 0.712 0.340 O
0.809 0.191 0.482 O
0.818 0.182 0.178 O
0.191 0.809 0.482 O
0.309 0.309 0.982 O
0.182 0.818 0.178 O
0.000 0.000 0.000 In
0.500 0.500 0.500 In
0.000 0.000 0.667 Tl
0.500 0.500 0.167 Tl
0.000 0.000 0.333 Sb
0.500 0.500 0.833 Sb


12.
TmIn2SbO8, relaxed, DFT PBE; magnetization = 2.0 μB per formula unit; calculated density = 6.571 g cm⁻³; formation energy from raw total energies = -1646 meV per atom
1.0
-4.283 2.328 -0.686
-2.302 -4.350 -0.208
-0.966 0.191 6.684
O In Tm Sb
8 2 1 1
direct
0.187 0.812 0.774 O
0.687 0.688 0.500 O
0.813 0.188 0.774 O
0.813 0.188 0.226 O
0.709 0.710 0.000 O
0.187 0.812 0.226 O
0.313 0.312 0.500 O
0.291 0.290 0.000 O
0.500 0.500 0.244 In
0.500 0.500 0.756 In
0.000 0.000 0.500 Tm
0.000 0.000 0.000 Sb


13.
UInSbO6, relaxed, DFT PBE; magnetization = 0.0 μB per formula unit; calculated density = 7.177 g cm⁻³; formation energy from raw total energies = -2050 meV per atom
1.0
-2.385 -2.399 4.460
3.053 -3.082 -3.539
7.972 1.856 5.261
O Sb In U
12 2 2 2
direct
0.351 0.337 0.367 O
0.337 0.986 0.633 O
0.649 0.986 0.867 O
0.014 0.663 0.867 O
0.337 0.351 0.867 O
0.014 0.351 0.633 O
0.663 0.014 0.367 O
0.986 0.337 0.133 O
0.986 0.649 0.367 O
0.351 0.014 0.133 O
0.649 0.663 0.633 O
0.663 0.649 0.133 O
0.000 0.000 0.000 Sb
0.000 0.000 0.500 Sb
0.667 0.333 0.750 In
0.333 0.667 0.250 In
0.667 0.333 0.250 U
0.333 0.667 0.750 U